1.
The following is a PBE calculation of HfTcB2 after structural relaxation, from the Alexandria database.

a b c (Å): 3.1224 3.3028 8.7366
angles (deg): 90.00 90.00 90.00
Fractional coordinates of all 8 atoms:
Hf: 0.0000 0.0000 0.0000
Hf: 0.0000 0.5000 0.5000
Tc: 0.5000 0.0000 0.7113
Tc: 0.5000 0.5000 0.2113
B: 0.0000 0.0000 0.2936
B: 0.0000 0.5000 0.7936
B: 0.5000 0.0000 0.3997
B: 0.5000 0.5000 0.8997

Computed properties:
Volume: 90 Å³ per cell
DOS at the Fermi energy: 4.67 states/eV/cell
Space-group type: Amm2, No. 38
E_tot: -9.068 eV/atom

---

2.
The following is a PBE calculation of Hf2TcB6 after structural relaxation, from the Alexandria database.

a b c (Å): 5.3375 5.3375 3.4725
angles (deg): 90.00 90.00 120.00
Fractional coordinates of all 9 atoms:
Hf: 0.3333 0.6667 0.0000
Hf: 0.6667 0.3333 0.0000
Tc: 0.0000 0.0000 0.0000
B: 0.0000 0.3302 0.5000
B: 0.0000 0.6698 0.5000
B: 0.3302 0.0000 0.5000
B: 0.3302 0.3302 0.5000
B: 0.6698 0.0000 0.5000
B: 0.6698 0.6698 0.5000

Computed properties:
Volume: 86 Å³ per cell
DOS at the Fermi energy: 4.29 states/eV/cell
Space-group type: P6/mmm, No. 191
E_tot: -8.517 eV/atom

---

3.
The following is a PBE calculation of HfTcB2 after structural relaxation, from the Alexandria database.

a b c (Å): 4.7326 4.7326 10.9166
angles (deg): 90.00 90.00 90.00
Fractional coordinates of all 16 atoms:
Hf: 0.0000 0.0000 0.0000
Hf: 0.0000 0.5000 0.2500
Hf: 0.5000 0.0000 0.7500
Hf: 0.5000 0.5000 0.5000
Tc: 0.0000 0.0000 0.5000
Tc: 0.0000 0.5000 0.7500
Tc: 0.5000 0.0000 0.2500
Tc: 0.5000 0.5000 0.0000
B: 0.1835 0.2500 0.6250
B: 0.2500 0.6835 0.8750
B: 0.2500 0.8165 0.3750
B: 0.3165 0.2500 0.1250
B: 0.6835 0.7500 0.1250
B: 0.7500 0.1835 0.3750
B: 0.7500 0.3165 0.8750
B: 0.8165 0.7500 0.6250

Computed properties:
Volume: 245 Å³ per cell
DOS at the Fermi energy: 12.74 states/eV/cell
Space-group type: I-42d, No. 122
E_tot: -7.990 eV/atom

---

4.
The following is a PBE calculation of HfTc2B6 after structural relaxation, from the Alexandria database.

a b c (Å): 5.6396 5.6396 5.6396
angles (deg): 148.32 91.23 97.32
Fractional coordinates of all 9 atoms:
Hf: 0.0000 0.0000 0.0000
Tc: 0.4330 0.6224 0.8106
Tc: 0.8118 0.6224 0.1894
B: 0.0547 0.3466 0.7081
B: 0.2029 0.8818 0.3210
B: 0.5053 0.0053 0.5000
B: 0.5608 0.8818 0.6790
B: 0.6386 0.3466 0.2919
B: 0.7457 0.2457 0.5000

Computed properties:
Volume: 90 Å³ per cell
DOS at the Fermi energy: 3.61 states/eV/cell
Space-group type: Imm2, No. 44
E_tot: -8.234 eV/atom